# Zn2TeP

A relaxed Zn2TeP crystal (GGA-PBE, Alexandria).

Properties
The symmetry is C2/m. For the energy above the most stable polymorph in this dataset, the calculation gives 34.0 kJ/mol of atoms. The value obtained for the uncorrected formation energy is 181 meV per atom.

```
Zn2TeP
1.0
3.826 2.840 0.023
-3.826 2.840 0.023
0.000 1.983 3.810
P Zn Te
1 2 1
direct
0.000 0.000 0.500 P
0.000 0.500 0.000 Zn
0.500 0.000 0.000 Zn
0.500 0.500 0.500 Te
```

# CaZrPdRh

A relaxed CaZrPdRh crystal (GGA-PBE, Alexandria).

Properties
As for the calculated formation energy: -556 meV/atom. The symmetry is F-43m.

```
CaZrPdRh
1.0
4.775 0.000 0.000
2.388 4.135 0.000
2.388 1.378 3.899
Rh Ca Zr Pd
1 1 1 1
direct
0.750 0.750 0.750 Rh
0.000 0.000 0.000 Ca
0.500 0.500 0.500 Zr
0.250 0.250 0.250 Pd
```

# CdSi2Au

A relaxed CdSi2Au crystal (GGA-PBE, Alexandria).

Properties
The symmetry is Pmmm. The value obtained for the uncorrected formation energy is 370 meV per atom.

```
CdSi2Au
1.0
2.824 0.000 0.000
0.000 4.896 0.000
0.000 0.000 5.314
Si Cd Au
2 1 1
direct
0.500 0.500 0.000 Si
0.000 0.000 0.000 Si
0.000 0.500 0.500 Cd
0.500 0.000 0.500 Au
```

# SrSm3Ni

A relaxed SrSm3Ni crystal (GGA-PBE, Alexandria).

Properties
As for the calculated formation energy: -1 meV/atom. The symmetry is Pm-3m.

```
SrSm3Ni
1.0
5.547 0.000 0.000
0.000 5.547 0.000
0.000 0.000 5.547
Sm Sr Ni
3 1 1
direct
0.000 0.500 0.000 Sm
0.000 0.000 0.500 Sm
0.500 0.000 0.000 Sm
0.500 0.500 0.500 Sr
0.000 0.000 0.000 Ni
```

# Cs2Zn2BiSe4

A relaxed Cs2Zn2BiSe4 crystal (GGA-PBE, Alexandria).

Properties
The symmetry is C2/m. The value obtained for the uncorrected formation energy is -779 meV per atom.

```
Cs2Zn2BiSe4
1.0
4.212 0.000 0.000
0.000 8.179 0.102
-2.106 -3.123 8.356
Se Zn Cs Bi
4 2 2 1
direct
0.785 0.834 0.570 Se
0.463 0.216 0.925 Se
0.215 0.166 0.430 Se
0.537 0.784 0.075 Se
0.322 0.021 0.645 Zn
0.678 0.979 0.355 Zn
0.127 0.527 0.255 Cs
0.873 0.473 0.745 Cs
0.000 0.000 0.000 Bi
```

# Rb2Np2MnSe6

A relaxed Rb2Np2MnSe6 crystal (GGA-PBE, Alexandria).

Properties
The symmetry is C2/m. The value obtained for the uncorrected formation energy is -1038 meV per atom.

```
Rb2Np2MnSe6
1.0
-0.346 -2.627 6.565
-2.423 -3.791 -5.467
8.328 -1.236 -1.318
Se Np Mn Rb
6 2 1 2
direct
0.606 0.938 0.313 Se
0.062 0.394 0.687 Se
0.394 0.062 0.687 Se
0.733 0.733 0.686 Se
0.267 0.267 0.314 Se
0.938 0.606 0.313 Se
0.333 0.667 0.500 Np
0.667 0.333 0.500 Np
0.000 0.000 0.500 Mn
0.165 0.835 0.000 Rb
0.835 0.165 0.000 Rb
```

# Au3CF

A relaxed Au3CF crystal (GGA-PBE, Alexandria).

Properties
The symmetry is Pm-3m. For the energy above the most stable polymorph in this dataset, the calculation gives 0.0 kJ/mol of atoms. The value obtained for the uncorrected formation energy is 517 meV per atom.

```
Au3CF
1.0
-0.832 3.216 2.710
-1.367 -2.819 2.927
3.977 -0.296 1.572
Au F C
3 1 1
direct
0.500 0.000 0.000 Au
0.000 0.000 0.500 Au
0.000 0.500 0.000 Au
0.500 0.500 0.500 F
0.000 0.000 0.000 C
```

# Ba5Al2Ge4

A relaxed Ba5Al2Ge4 crystal (GGA-PBE, Alexandria).

Properties
As for the calculated formation energy: -323 meV/atom. The symmetry is C2/m.

```
Ba5Al2Ge4
1.0
4.944 0.000 0.000
0.000 7.985 -1.114
-2.472 -3.822 10.531
Ba Ge Al
5 4 2
direct
0.834 0.620 0.669 Ba
0.166 0.380 0.331 Ba
0.500 0.000 0.000 Ba
0.840 0.120 0.680 Ba
0.160 0.880 0.320 Ba
0.988 0.644 0.976 Ge
0.694 0.675 0.388 Ge
0.012 0.356 0.024 Ge
0.306 0.325 0.612 Ge
0.436 0.500 0.872 Al
0.564 0.500 0.128 Al
```

# RbLaTl2

A relaxed RbLaTl2 crystal (GGA-PBE, Alexandria).

Properties
As for the calculated formation energy: 163 meV/atom. The symmetry is I-42d. For the energy above the most stable polymorph in this dataset, the calculation gives 36.6 kJ/mol of atoms.

```
RbLaTl2
1.0
-4.378 -7.733 2.568
5.975 -5.029 -4.957
3.078 -6.664 1.840
Tl Rb La
4 2 2
direct
0.875 0.906 0.750 Tl
0.656 0.125 0.250 Tl
0.094 0.625 0.250 Tl
0.375 0.344 0.750 Tl
0.250 0.750 0.500 Rb
0.500 0.500 0.000 Rb
0.000 0.000 0.000 La
0.750 0.250 0.500 La
```

# Y6CoSe5

A relaxed Y6CoSe5 crystal (GGA-PBE, Alexandria).

Properties
The symmetry is C2/m. The value obtained for the uncorrected formation energy is -1538 meV per atom.

```
Y6CoSe5
1.0
-2.516 6.220 -2.351
-2.402 -6.080 -2.795
-3.174 -0.258 6.332
Y Se Co
6 5 1
direct
0.925 0.619 0.770 Y
0.773 0.773 0.235 Y
0.075 0.381 0.230 Y
0.381 0.075 0.230 Y
0.227 0.227 0.765 Y
0.619 0.925 0.770 Y
0.823 0.177 0.500 Se
0.500 0.500 0.500 Se
0.177 0.823 0.500 Se
0.665 0.335 0.000 Se
0.335 0.665 0.000 Se
0.000 0.000 0.000 Co
```

# YMoPt2

A relaxed YMoPt2 crystal (GGA-PBE, Alexandria).

Properties
As for the calculated formation energy: -354 meV/atom. The symmetry is I4/mmm. For the energy above the most stable polymorph in this dataset, the calculation gives 11.7 kJ/mol of atoms.

```
YMoPt2
1.0
5.017 -0.016 -0.042
1.447 4.804 0.042
-3.210 -2.423 2.999
Y Mo Pt
1 1 2
direct
0.750 0.250 0.500 Y
0.250 0.750 0.500 Mo
0.500 0.500 0.000 Pt
0.000 0.000 0.000 Pt
```

# FeRe3N6

A relaxed FeRe3N6 crystal (GGA-PBE, Alexandria).

Properties
The symmetry is P2_1/c. The value obtained for the uncorrected formation energy is 333 meV per atom.

```
FeRe3N6
1.0
5.251 0.000 0.000
0.000 4.812 0.140
0.000 4.381 7.854
Fe N Re
2 12 6
direct
0.500 0.000 0.000 Fe
0.000 0.000 0.500 Fe
0.705 0.921 0.408 N
0.823 0.234 0.589 N
0.205 0.079 0.092 N
0.795 0.921 0.908 N
0.323 0.766 0.911 N
0.177 0.766 0.411 N
0.677 0.234 0.089 N
0.571 0.581 0.250 N
0.429 0.419 0.750 N
0.295 0.079 0.592 N
0.071 0.419 0.250 N
0.929 0.581 0.750 N
0.500 0.500 0.500 Re
0.409 0.194 0.260 Re
0.091 0.194 0.760 Re
0.000 0.500 0.000 Re
0.909 0.806 0.240 Re
0.591 0.806 0.740 Re
```